P | VASP calculation (GGA-PBE) on a relaxed ZrTa2Be9 crystal.

a b c (Å): 4.6117 4.6117 14.2753
angles (deg): 90.00 90.00 120.00
Space group P6_3/mmc (No. 194)
Unique sites:
Zr  0.3333  0.6667  0.2500 (multiplicity 2)
Ta  0.3333  0.6667  0.0372 (multiplicity 4)
Be  0.0000  0.0000  0.0000 (multiplicity 2)
Be  0.0000  0.0000  0.2500 (multiplicity 2)
Be  0.1695  0.3391  0.6252 (multiplicity 12)
Be  0.3333  0.6667  0.7500 (multiplicity 2)

## Properties
Fermi-level density of states = 0.41 states/eV/atom

---

Q | VASP calculation (GGA-PBE) on a relaxed ZrTa2Be9 crystal.

a b c (Å): 4.6067 4.6067 21.4525
angles (deg): 90.00 90.00 120.00
Space group R-3m (No. 166, hexagonal axes)
Unique sites:
Zr  0.0000  0.0000  0.0000 (multiplicity 3)
Ta  0.0000  0.0000  0.1423 (multiplicity 6)
Be  0.0000  0.0000  0.3352 (multiplicity 6)
Be  0.0000  0.0000  0.5000 (multiplicity 3)
Be  0.0070  0.5035  0.9168 (multiplicity 18)

## Properties
Fermi-level density of states = 0.46 states/eV/atom

---

Computed relative energies in units of kJ/mol of atoms: P 0.6; Q 0.0

---

P | VASP calculation (GGA-PBE) on a relaxed ZrTaBe crystal.

a b c (Å): 3.1196 3.1196 6.2181
angles (deg): 90.00 90.00 120.00
Space group P3m1 (No. 156)
Unique sites:
Zr  0.0000  0.0000  0.0000 (multiplicity 1)
Ta  0.3333  0.6667  0.5976 (multiplicity 1)
Be  0.6667  0.3333  0.3133 (multiplicity 1)

## Properties
Fermi-level density of states = 1.03 states/eV/atom

---

Q | VASP calculation (GGA-PBE) on a relaxed ZrTaBe crystal.

a b c (Å): 2.894 2.894 11.905
angles (deg): 90.00 90.00 90.00
Space group I4mm (No. 107)
Unique sites:
Zr  0.000  0.000  0.000 (multiplicity 2)
Ta  0.000  0.000  0.704 (multiplicity 2)
Be  0.000  0.000  0.342 (multiplicity 2)

## Properties
Fermi-level density of states = 1.01 states/eV/atom

---

R | VASP calculation (GGA-PBE) on a relaxed ZrTaBe crystal.

a b c (Å): 3.067 3.517 9.370
angles (deg): 90.00 90.00 90.00
Space group Imm2 (No. 44)
Unique sites:
Zr  0.000  0.000  0.000 (multiplicity 2)
Ta  0.000  0.000  0.305 (multiplicity 2)
Be  0.000  0.000  0.675 (multiplicity 2)

## Properties
Fermi-level density of states = 0.55 states/eV/atom

---

Computed relative energies in units of kJ/mol of atoms: P 22.5; Q 0.0; R 1.3

---

P | VASP calculation (GGA-PBE) on a relaxed ZrTaBe crystal.

a b c (Å): 5.172 8.659 17.537
angles (deg): 90.00 90.00 90.00
Space group Fddd (No. 70, origin choice 2)
Unique sites:
Zr  0.125  0.125  0.046 (multiplicity 16)
Ta  0.125  0.297  0.625 (multiplicity 16)
Be  0.125  0.125  0.501 (multiplicity 16)

## Properties
Fermi-level density of states = 1.19 states/eV/atom

---

Q | VASP calculation (GGA-PBE) on a relaxed ZrTaBe crystal.

a b c (Å): 5.969 5.969 5.969
angles (deg): 90.00 90.00 90.00
Space group F-43m (No. 216)
Unique sites:
Zr  0.000  0.000  0.000 (multiplicity 4)
Ta  0.000  0.000  0.500 (multiplicity 4)
Be  0.250  0.250  0.250 (multiplicity 4)

## Properties
Fermi-level density of states = 0.65 states/eV/atom

---

Computed relative energies in units of kJ/mol of atoms: P 0.0; Q 35.6

---

P | VASP calculation (GGA-PBE) on a relaxed ZrTa3Be crystal.

a b c (Å): 4.512 4.512 4.512
angles (deg): 90.00 90.00 90.00
Space group Pm-3m (No. 221)
Unique sites:
Zr  0.000  0.000  0.000 (multiplicity 1)
Ta  0.000  0.500  0.500 (multiplicity 3)
Be  0.500  0.500  0.500 (multiplicity 1)

## Properties
Fermi-level density of states = 1.07 states/eV/atom

---

Q | VASP calculation (GGA-PBE) on a relaxed ZrTa3Be crystal.

a b c (Å): 4.877 4.877 4.877
angles (deg): 90.00 90.00 90.00
Space group Pm-3m (No. 221)
Unique sites:
Zr  0.000  0.000  0.000 (multiplicity 1)
Ta  0.000  0.000  0.500 (multiplicity 3)
Be  0.500  0.500  0.500 (multiplicity 1)

## Properties
Fermi-level density of states = 1.09 states/eV/atom

---

Computed relative energies in units of kJ/mol of atoms: P 0.0; Q 173.3

---

P | VASP calculation (GGA-PBE) on a relaxed TbTm2Be crystal.

a b c (Å): 3.4001 3.4001 33.8269
angles (deg): 90.00 90.00 120.00
Space group R-3m (No. 166, hexagonal axes)
Unique sites:
Tb  0.0000  0.0000  0.0000 (multiplicity 3)
Tm  0.0000  0.0000  0.4160 (multiplicity 6)
Be  0.0000  0.0000  0.5000 (multiplicity 3)

## Properties
Fermi-level density of states = 0.90 states/eV/atom

---

Q | VASP calculation (GGA-PBE) on a relaxed TbTm2Be crystal.

a b c (Å): 3.418 3.418 8.543
angles (deg): 90.00 90.00 90.00
Space group P4/mmm (No. 123)
Unique sites:
Tb  0.000  0.000  0.000 (multiplicity 1)
Tm  0.500  0.500  0.308 (multiplicity 2)
Be  0.000  0.000  0.500 (multiplicity 1)

## Properties
Fermi-level density of states = 1.06 states/eV/atom

---

Computed relative energies in units of kJ/mol of atoms: P 60.6; Q 0.0

---

P | VASP calculation (GGA-PBE) on a relaxed Tb2YBe crystal.

a b c (Å): 3.4421 3.4421 34.3767
angles (deg): 90.00 90.00 120.00
Space group R-3m (No. 166, hexagonal axes)
Unique sites:
Tb  0.0000  0.0000  0.0842 (multiplicity 6)
Y  0.0000  0.0000  0.5000 (multiplicity 3)
Be  0.0000  0.0000  0.0000 (multiplicity 3)

## Properties
Fermi-level density of states = 0.99 states/eV/atom

---

Q | VASP calculation (GGA-PBE) on a relaxed Tb2YBe crystal.

a b c (Å): 3.497 3.497 8.571
angles (deg): 90.00 90.00 90.00
Space group P4/mmm (No. 123)
Unique sites:
Tb  0.000  0.000  0.192 (multiplicity 2)
Y  0.500  0.500  0.500 (multiplicity 1)
Be  0.500  0.500  0.000 (multiplicity 1)

## Properties
Fermi-level density of states = 1.11 states/eV/atom

---

Computed relative energies in units of kJ/mol of atoms: P 59.4; Q 0.0